# Cd2WO6

Crystalline Cd2WO6 at its relaxed geometry (GGA+U, Alexandria).

Summary:
Size of the total moment = 4.06 μB/cell
Electronic total energy = -5.468 eV per atom
Crystal system = tetragonal

Geometry as extended XYZ:
```
18
Lattice="-1.537 -2.394 -4.153 -1.480 -3.911 2.802 -9.101 4.145 0.979" Properties=species:S:1:pos:R:3 pbc="T T T"
Cd -3.012 -2.468 -0.514
Cd -6.055 2.757 0.651
Cd -3.047 1.388 0.328
Cd -9.106 0.307 0.142
O -6.796 0.672 0.202
O -4.209 -0.506 -0.076
O -0.830 -1.734 -0.371
O -7.909 -1.654 -0.296
O -9.298 -0.076 2.359
O -2.187 -4.572 -0.979
O -6.075 -0.663 -2.098
O -5.322 -2.833 -0.574
O -2.784 -3.042 1.658
O -6.043 -1.497 1.727
O -9.334 0.882 -2.030
O -2.820 -2.085 -2.731
W 0.000 0.000 0.000
W -6.059 -1.080 -0.186
```



# Cd4W2O9

Crystalline Cd4W2O9 at its relaxed geometry (GGA+U, Alexandria).

Summary:
Size of the total moment = 4.00 μB/cell
Electronic total energy = -5.666 eV per atom
Crystal system = monoclinic

Geometry as extended XYZ:
```
30
Lattice="2.788 4.984 0.099 -2.788 4.984 0.099 0.000 0.460 14.997" Properties=species:S:1:pos:R:3 pbc="T T T"
O -1.602 3.716 6.308
O 0.566 8.976 11.445
O 1.249 4.999 6.217
O -1.602 6.482 1.387
O 1.249 5.199 1.478
O -0.566 1.451 3.749
O -1.249 5.229 13.716
O 0.566 1.681 11.248
O -1.249 5.429 8.977
O 1.188 5.329 11.347
O 1.602 3.946 13.807
O 1.849 3.709 8.983
O -0.566 8.747 3.947
O -1.849 3.479 1.484
O -1.188 5.099 3.848
O -1.849 6.719 6.212
O 1.602 6.711 8.886
O 1.849 6.949 13.711
Cd -0.083 7.065 14.716
Cd -0.116 7.014 10.545
Cd -0.116 3.644 12.149
Cd 0.116 3.414 4.650
Cd 0.116 6.784 3.046
Cd 0.083 3.362 0.479
Cd 0.083 6.835 7.217
Cd -0.083 3.592 7.978
W -2.675 5.053 2.322
W -2.675 5.145 5.374
W 2.675 5.375 12.872
W 2.675 5.283 9.821
```